The following is a DFT calculation (PBE-GGA) of crystalline RbPPd2 at its relaxed geometry.

a b c (Å): 6.9351 5.5452 11.0333
angles (deg): 90.00 90.00 115.83
Closest atoms and distances in Å follow each position.
Fractional coordinates of all 16 atoms:
Rb: 0.0194 0.2649 0.5980  4 Pd 3.17-3.48, 1 P 3.29, 1 Rb 3.49
Rb: 0.4806 0.2351 0.0980  4 Pd 3.17-3.48, 1 P 3.29, 1 Rb 3.49
Rb: 0.9806 0.7351 0.4020  4 Pd 3.17-3.48, 1 P 3.29, 1 Rb 3.49
Rb: 0.5194 0.7649 0.9020  4 Pd 3.17-3.48, 1 P 3.29, 1 Rb 3.49
P: 0.5788 0.9733 0.3444  4 Pd 2.27-2.32
P: 0.9212 0.5267 0.8444  4 Pd 2.27-2.32
P: 0.4212 0.0267 0.6556  4 Pd 2.27-2.32
P: 0.0788 0.4733 0.1556  4 Pd 2.27-2.32
Pd: 0.8451 0.0461 0.2033  2 P 2.27-2.31
Pd: 0.6549 0.4539 0.7033  2 P 2.27-2.31
Pd: 0.1549 0.9539 0.7967  2 P 2.27-2.31
Pd: 0.3451 0.5461 0.2967  2 P 2.27-2.31
Pd: 0.4851 0.2430 0.4692  2 P 2.32
Pd: 0.0149 0.2570 0.9692  2 P 2.32
Pd: 0.5149 0.7570 0.5308  2 P 2.32
Pd: 0.9851 0.7430 0.0308  2 P 2.32

Results
Symmetry: P2_1/c (14)
Size of the total moment (μB/cell): 0.0
Energy of formation from the pure elements (meV per atom): -331
N(E_F) (states/eV per cell): 6.19